[1]
The following is a PBE calculation of an optimized crystal structure of RbCu3Ag4Br12, from the Alexandria database.

Computed properties:
DOS(E_F)   13.1 states/eV/f.u.
Spin magnetization   2.44 Bohr magnetons per cell
E   -2.64 eV/atom

a = 8.9552 Å, b = 8.9552 Å, c = 8.9552 Å
α = 109.47°, β = 109.47°, γ = 109.47°
Site moments in Bohr magnetons follow the coordinates.
Atoms (fractional coordinates):
Br 0.8349 0.5063 0.6714  0.09
Ag 0.5000 0.5000 0.5000  0.04
Br 0.8365 0.6714 0.1651  0.09
Cu 0.5000 0.5000 0.0000  0.32
Ag 0.0000 0.5000 0.0000  0.04
Br 0.1651 0.8365 0.6714  0.09
Br 0.3286 0.1651 0.4937  0.09
Br 0.1651 0.4937 0.3286  0.09
Br 0.8349 0.1635 0.3286  0.09
Br 0.1635 0.3286 0.8349  0.09
Rb 0.0000 0.0000 0.0000  0.00
Cu 0.0000 0.5000 0.5000  0.32
Ag 0.5000 0.0000 0.0000  0.04
Ag 0.0000 0.0000 0.5000  0.04
Br 0.3286 0.8349 0.1635  0.09
Cu 0.5000 0.0000 0.5000  0.32
Br 0.4937 0.3286 0.1651  0.09
Br 0.6714 0.1651 0.8365  0.09
Br 0.6714 0.8349 0.5063  0.09
Br 0.5063 0.6714 0.8349  0.09

---

[2]
The following is a PBE calculation of an optimized crystal structure of RbCuAgBr4, from the Alexandria database.

Computed properties:
DOS(E_F)   8.8 states/eV/f.u.
Spin magnetization   0.85 Bohr magnetons per cell
E   -2.65 eV/atom

a = 8.1882 Å, b = 8.1882 Å, c = 8.1882 Å
α = 60.00°, β = 60.00°, γ = 60.00°
Site moments in Bohr magnetons follow the coordinates.
Atoms (fractional coordinates):
Ag 0.5000 0.5000 0.5000  0.10
Br 0.3693 0.8921 0.3693  0.08
Rb 0.7500 0.7500 0.7500  0.00
Br 0.3693 0.3693 0.3693  0.08
Br 0.3693 0.3693 0.8921  0.08
Cu 0.2500 0.2500 0.2500  0.32
Br 0.8921 0.3693 0.3693  0.08